# Fe2TcBr

A geometry-optimized Fe2TcBr structure (PBE, Alexandria).

a b c (Å): 3.031 4.768 8.532
angles (deg): 90.00 90.00 90.00
Space group Cmm2 (No. 35)
Inequivalent atoms, fractional coordinates:
Fe1 0.000 0.000 0.000
Fe2 0.000 0.500 0.222
Tc1 0.000 0.500 0.771
Br1 0.000 0.000 0.474

Output
For the uncorrected energy, the calculation gives -6.55 eV/atom. For the energy above the lowest structure with this stoichiometry, the calculation gives 274 meV/atom. Its size of the total moment is 5.6 μB per formula unit. The uncorrected formation energy is 0.689 eV per atom. Its crystal system is orthorhombic.